Record 1
An optimized crystal structure of Al4Ge2W3, computed with PBEsol.

Cell lengths 4.816, 4.816, 6.681 Å; angles 90.10, 90.10, 120.05 degrees
Sites, in units of the cell vectors:
Al 0.000 0.000 0.000
Al 0.467 0.005 0.669
Al 0.667 0.333 0.000
Al 0.995 0.533 0.331
Ge 0.123 0.336 0.670
Ge 0.664 0.877 0.330
W 0.333 0.667 0.000
W 0.334 0.211 0.341
W 0.789 0.666 0.659

SG: No. 5
E_tot (eV per atom): -7.6380

***

Record 2
An optimized crystal structure of Al3GeW, computed with PBEsol.

Cell lengths 4.825, 4.825, 4.825 Å; angles 90.00, 90.00, 90.00 degrees
Sites, in units of the cell vectors:
Al 0.000 0.000 0.500
Al 0.000 0.500 0.000
Al 0.500 0.000 0.000
Ge 0.500 0.500 0.500
W 0.000 0.000 0.000

SG: No. 221
E_tot (eV per atom): -5.3184

***

no.,DOS(E_F) (states/eV/cell)
1,2.70
2,2.14